Dy4CdGaRh2: optimized geometry, GGA-PBE.

Cell: 5.0087 5.0087 24.5026 Å, 90.00 90.00 120.00°
Space group R-3m (No. 166, hexagonal axes)
Symmetry-distinct sites (fractional):
Dy: 0.0000 0.0000 0.1228
Dy: 0.0000 0.0000 0.3727
Cd: 0.0000 0.0000 0.5000
Ga: 0.0000 0.0000 0.0000
Rh: 0.0000 0.0000 0.2495

---

MnSnPHS: optimized geometry, GGA-PBE.

Cell: 3.123 4.739 5.298 Å, 97.41 90.12 109.18°
Space group P1 (No. 1)
Symmetry-distinct sites (fractional):
Mn: 0.000 0.000 0.000
Sn: 0.297 0.591 0.227
P: 0.806 0.614 0.690
H: 0.042 0.086 0.299
S: 0.574 0.151 0.748

---

no.,final energy (eV/atom)
1,-5.243
2,-5.210